(1)
Entry from Alexandria: Li6MgTl3 after structural relaxation (PBE).

a = 8.2167 Å, b = 4.9305 Å, c = 10.3852 Å
α = 90.00°, β = 108.36°, γ = 90.00°
Closest atoms and distances in Å follow each position.
Atoms (fractional coordinates):
Li: 0.0410 0.2500 0.4058  7 Tl 2.94-3.06, 3 Li 3.01-3.30
Li: 0.1446 0.7500 0.1971  5 Tl 2.87-2.98, 3 Li 2.97-3.20, 1 Mg 3.06
Li: 0.2417 0.2500 0.0029  4 Tl 2.88-2.96, 2 Li 2.95-3.20, 3 Mg 2.97
Li: 0.3442 0.2500 0.3022  8 Li 2.95-3.01, 2 Tl 3.22-3.25
Li: 0.3466 0.7500 0.7872  4 Tl 2.89-3.02, 3 Mg 2.96-3.03, 2 Li 2.97-3.18
Li: 0.4435 0.2500 0.6035  4 Tl 2.83-2.92, 3 Li 2.97-3.00, 1 Mg 3.05
Li: 0.5565 0.7500 0.3965  4 Tl 2.83-2.92, 3 Li 2.97-3.00, 1 Mg 3.05
Li: 0.6534 0.2500 0.2128  4 Tl 2.89-3.02, 3 Mg 2.96-3.03, 2 Li 2.97-3.18
Li: 0.6558 0.7500 0.6978  8 Li 2.95-3.01, 2 Tl 3.22-3.25
Li: 0.7583 0.7500 0.9971  4 Tl 2.88-2.96, 2 Li 2.95-3.20, 3 Mg 2.97
Li: 0.8554 0.2500 0.8029  5 Tl 2.87-2.98, 3 Li 2.97-3.20, 1 Mg 3.06
Li: 0.9590 0.7500 0.5942  7 Tl 2.94-3.06, 3 Li 3.01-3.30
Mg: 0.4496 0.7500 0.0870  8 Li 2.96-3.06, 2 Tl 3.26-3.28, 2 Mg 3.31
Mg: 0.5504 0.2500 0.9130  8 Li 2.96-3.06, 2 Tl 3.26-3.28, 2 Mg 3.31
Tl: 0.0467 0.7500 0.8956  9 Li 2.88-3.22
Tl: 0.1589 0.2500 0.7045  8 Li 2.85-2.98
Tl: 0.2670 0.7500 0.4882  8 Li 2.83-3.06
Tl: 0.7330 0.2500 0.5118  8 Li 2.83-3.06
Tl: 0.8411 0.7500 0.2955  8 Li 2.85-2.98
Tl: 0.9533 0.2500 0.1044  9 Li 2.88-3.22

- D(E_F): 6.73 states/eV per cell
- Uncorrected energy: -2.2053 eV per atom
- Formation energy from the elements: -0.188 eV per atom
- Magnetic moment: 0.00 μB/cell

***

(2)
Entry from Alexandria: LiAcYSn after structural relaxation (PBE).

a = 5.4956 Å, b = 5.4956 Å, c = 5.4956 Å
α = 60.00°, β = 60.00°, γ = 60.00°
Closest atoms and distances in Å follow each position.
Atoms (fractional coordinates):
Li: 0.0000 0.0000 0.0000  4 Ac 3.37, 4 Y 3.37
Ac: 0.2500 0.2500 0.2500  4 Sn 3.37, 4 Li 3.37
Y: 0.7500 0.7500 0.7500  4 Sn 3.37, 4 Li 3.37
Sn: 0.5000 0.5000 0.5000  4 Ac 3.37, 4 Y 3.37

- D(E_F): 3.09 states/eV per cell
- Uncorrected energy: -4.4829 eV per atom
- Formation energy from the elements: -0.361 eV per atom
- Magnetic moment: 0.00 μB/cell

***

(3)
Entry from Alexandria: FePt2Se after structural relaxation (PBE).

a = 5.4045 Å, b = 5.4045 Å, c = 5.4045 Å
α = 149.21°, β = 128.80°, γ = 60.94°
Closest atoms and distances in Å follow each position.
Atoms (fractional coordinates):
Fe: 0.0000 0.0000 0.0000  2 Se 2.57, 6 Pt 2.68-2.75, 2 Fe 2.87
Pt: 0.4809 0.4809 0.0000  4 Fe 2.75, 2 Se 2.76, 4 Pt 2.87-2.94
Pt: 0.7565 0.2565 0.5000  2 Fe 2.68, 4 Se 2.75, 4 Pt 2.87-2.94
Se: 0.2283 0.7283 0.5000  2 Fe 2.57, 6 Pt 2.75-2.76, 2 Se 2.87

- Uncorrected formation energy: 129 meV per atom
- D(E_F): 2.76 states/eV per cell
- Uncorrected energy: -5.8780 eV per atom
- Magnetic moment: 3.38 μB/cell

***

(4)
Entry from Alexandria: NaMgIn11 after structural relaxation (PBE).

a = 8.3463 Å, b = 8.3463 Å, c = 8.1423 Å
α = 96.41°, β = 96.41°, γ = 137.66°
Closest atoms and distances in Å follow each position.
Atoms (fractional coordinates):
Na: 0.0000 0.0000 0.0000  14 In 3.70-4.07
Mg: 0.5000 0.5000 0.5000  10 In 3.01-3.32
In: 0.0000 0.0000 0.5000  2 Mg 3.01, 8 In 3.22-3.29
In: 0.0000 0.5000 0.0000  8 In 3.01-3.29
In: 0.0107 0.3626 0.3617  6 In 3.15-3.52, 1 Mg 3.32
In: 0.2934 0.4989 0.7910  1 Mg 3.08, 6 In 3.14-3.33
In: 0.3626 0.0107 0.3617  6 In 3.15-3.52, 1 Mg 3.32
In: 0.4989 0.2934 0.7910  1 Mg 3.08, 6 In 3.14-3.33
In: 0.5000 0.0000 0.0000  8 In 3.01-3.29
In: 0.5011 0.7066 0.2090  1 Mg 3.08, 6 In 3.14-3.33
In: 0.6374 0.9893 0.6383  6 In 3.15-3.52, 1 Mg 3.32
In: 0.7066 0.5011 0.2090  1 Mg 3.08, 6 In 3.14-3.33
In: 0.9893 0.6374 0.6383  6 In 3.15-3.52, 1 Mg 3.32

- D(E_F): 5.06 states/eV per cell
- Uncorrected energy: -2.5371 eV per atom
- Formation energy from the elements: 0.004 eV per atom
- Magnetic moment: 0.00 μB/cell

***

(5)
Entry from Alexandria: ZrBePb2 after structural relaxation (PBE).

a = 6.2204 Å, b = 6.2204 Å, c = 6.2204 Å
α = 104.12°, β = 104.12°, γ = 120.81°
Closest atoms and distances in Å follow each position.
Atoms (fractional coordinates):
Zr: 0.0000 0.0000 0.0000  2 Be 3.07, 8 Pb 3.11-3.35
Zr: 0.7500 0.2500 0.5000  2 Be 3.07, 8 Pb 3.11-3.35
Be: 0.2500 0.7500 0.5000  4 Pb 2.55
Be: 0.5000 0.5000 0.0000  4 Pb 2.55
Pb: 0.1787 0.6250 0.0537  2 Be 2.55
Pb: 0.3750 0.4287 0.5537  2 Be 2.55
Pb: 0.5713 0.1250 0.9463  2 Be 2.55
Pb: 0.8750 0.8213 0.4463  2 Be 2.55

- D(E_F): 1.80 states/eV per cell
- Uncorrected energy: -4.5537 eV per atom
- Formation energy from the elements: 0.369 eV per atom
- Magnetic moment: 0.00 μB/cell

***

(6)
Entry from Alexandria: RuW2Au after structural relaxation (PBE).

a = 4.4911 Å, b = 4.4911 Å, c = 4.4911 Å
α = 60.00°, β = 60.00°, γ = 60.00°
Closest atoms and distances in Å follow each position.
Atoms (fractional coordinates):
Ru: 0.0000 0.0000 0.0000  4 W 2.75, 4 Au 2.75
W: 0.2500 0.2500 0.2500  4 W 2.75, 4 Ru 2.75
W: 0.5000 0.5000 0.5000  4 W 2.75, 4 Au 2.75
Au: 0.7500 0.7500 0.7500  4 W 2.75, 4 Ru 2.75

- D(E_F): 3.43 states/eV per cell
- Uncorrected energy: -9.1824 eV per atom
- Formation energy from the elements: 0.432 eV per atom
- Magnetic moment: 0.00 μB/cell
- Distance to the lowest polymorph of the same formula: 0.2503 eV per atom

***

(7)
Entry from Alexandria: BaMgCd after structural relaxation (PBE).

a = 4.7971 Å, b = 6.4008 Å, c = 7.4932 Å
α = 80.64°, β = 71.37°, γ = 89.95°
Closest atoms and distances in Å follow each position.
Atoms (fractional coordinates):
Ba: 0.1108 0.3236 0.2779  4 Cd 3.50-3.76, 2 Mg 3.72-3.73
Ba: 0.8892 0.6764 0.7221  4 Cd 3.50-3.76, 2 Mg 3.72-3.73
Mg: 0.4086 0.1738 0.6806  3 Cd 2.98-3.11
Mg: 0.5914 0.8262 0.3194  3 Cd 2.98-3.11
Cd: 0.2165 0.8598 0.0675  3 Mg 2.98-3.11, 2 Cd 3.05
Cd: 0.7835 0.1402 0.9325  3 Mg 2.98-3.11, 2 Cd 3.05

- D(E_F): 4.88 states/eV per cell
- Uncorrected energy: -1.6386 eV per atom
- Formation energy from the elements: -0.161 eV per atom
- Magnetic moment: 0.00 μB/cell

***

(8)
Entry from Alexandria: La2CoCu after structural relaxation (PBE).

a = 3.5922 Å, b = 3.5666 Å, c = 7.2040 Å
α = 90.00°, β = 95.32°, γ = 90.00°
Closest atoms and distances in Å follow each position.
Atoms (fractional coordinates):
La: 0.0530 0.0000 0.2679  2 Co 2.84, 2 Cu 3.17
La: 0.9470 0.0000 0.7321  2 Co 2.84, 2 Cu 3.17
Co: 0.5000 0.5000 0.5000  4 La 2.84
Cu: 0.5000 0.5000 0.0000  8 La 3.17-3.18

- D(E_F): 4.31 states/eV per cell
- Uncorrected energy: -5.3246 eV per atom
- Formation energy from the elements: -0.060 eV per atom
- Magnetic moment: 0.00 μB/cell

***

(9)
Entry from Alexandria: LiCa3Pr4Se8 after structural relaxation (PBE).

a = 8.4782 Å, b = 8.4782 Å, c = 8.4782 Å
α = 59.37°, β = 59.37°, γ = 59.37°
Closest atoms and distances in Å follow each position.
Atoms (fractional coordinates):
Li: 0.0000 0.0000 0.0000  6 Se 2.92
Ca: 0.0000 0.5000 0.5000  6 Se 2.95-2.96
Ca: 0.5000 0.0000 0.5000  6 Se 2.95-2.96
Ca: 0.5000 0.5000 0.0000  6 Se 2.95-2.96
Pr: 0.0000 0.0000 0.5000  6 Se 3.01-3.02
Pr: 0.0000 0.5000 0.0000  6 Se 3.01-3.02
Pr: 0.5000 0.0000 0.0000  6 Se 3.01-3.02
Pr: 0.5000 0.5000 0.5000  6 Se 3.04
Se: 0.2451 0.2451 0.7503  1 Li 2.92, 2 Ca 2.96, 3 Pr 3.01-3.04
Se: 0.2451 0.7503 0.2451  1 Li 2.92, 2 Ca 2.96, 3 Pr 3.01-3.04
Se: 0.2497 0.7549 0.7549  1 Li 2.92, 2 Ca 2.96, 3 Pr 3.01-3.04
Se: 0.2528 0.2528 0.2528  3 Ca 2.95, 3 Pr 3.02
Se: 0.7472 0.7472 0.7472  3 Ca 2.95, 3 Pr 3.02
Se: 0.7503 0.2451 0.2451  1 Li 2.92, 2 Ca 2.96, 3 Pr 3.01-3.04
Se: 0.7549 0.2497 0.7549  1 Li 2.92, 2 Ca 2.96, 3 Pr 3.01-3.04
Se: 0.7549 0.7549 0.2497  1 Li 2.92, 2 Ca 2.96, 3 Pr 3.01-3.04

- Uncorrected formation energy: -1852 meV per atom
- D(E_F): 5.13 states/eV per cell
- Uncorrected energy: -5.2845 eV per atom
- Magnetic moment: 0.00 μB/cell

***

(10)
Entry from Alexandria: La12Tb7Dy after structural relaxation (PBE).

a = 11.5319 Å, b = 11.5319 Å, c = 11.5319 Å
α = 116.67°, β = 116.67°, γ = 116.67°
Closest atoms and distances in Å follow each position.
Atoms (fractional coordinates):
La: 0.0000 0.4078 0.5921  3 La 3.31-3.62, 2 Tb 3.38
La: 0.0000 0.5921 0.4078  3 La 3.31-3.62, 2 Tb 3.38
La: 0.0703 0.0703 0.4247  1 La 3.31, 4 Tb 3.36-3.65
La: 0.0703 0.4247 0.0703  1 La 3.31, 4 Tb 3.36-3.65
La: 0.4078 0.0000 0.5921  3 La 3.31-3.62, 2 Tb 3.38
La: 0.4078 0.5921 0.0000  3 La 3.31-3.62, 2 Tb 3.38
La: 0.4247 0.0703 0.0703  1 La 3.31, 4 Tb 3.36-3.65
La: 0.5753 0.9297 0.9297  1 La 3.31, 4 Tb 3.36-3.65
La: 0.5921 0.0000 0.4078  3 La 3.31-3.62, 2 Tb 3.38
La: 0.5921 0.4078 0.0000  3 La 3.31-3.62, 2 Tb 3.38
La: 0.9297 0.5753 0.9297  1 La 3.31, 4 Tb 3.36-3.65
La: 0.9297 0.9297 0.5753  1 La 3.31, 4 Tb 3.36-3.65
Tb: 0.0000 0.0000 0.0000  2 Dy 3.19, 6 Tb 3.42
Tb: 0.1377 0.3863 0.3863  1 Dy 3.08, 3 La 3.36-3.38, 1 Tb 3.42
Tb: 0.3863 0.1377 0.3863  1 Dy 3.08, 3 La 3.36-3.38, 1 Tb 3.42
Tb: 0.3863 0.3863 0.1377  1 Dy 3.08, 3 La 3.36-3.38, 1 Tb 3.42
Tb: 0.6137 0.6137 0.8623  1 Dy 3.08, 3 La 3.36-3.38, 1 Tb 3.42
Tb: 0.6137 0.8623 0.6137  1 Dy 3.08, 3 La 3.36-3.38, 1 Tb 3.42
Tb: 0.8623 0.6137 0.6137  1 Dy 3.08, 3 La 3.36-3.38, 1 Tb 3.42
Dy: 0.5000 0.5000 0.5000  8 Tb 3.08-3.19

- D(E_F): 26.86 states/eV per cell
- Uncorrected energy: -4.6199 eV per atom
- Formation energy from the elements: 0.187 eV per atom
- Magnetic moment: 0.00 μB/cell
- Distance to the lowest polymorph of the same formula: 0.0000 eV per atom

***

(11)
Entry from Alexandria: FeBAs2Se after structural relaxation (PBE).

a = 4.2461 Å, b = 4.2461 Å, c = 4.4077 Å
α = 90.00°, β = 90.00°, γ = 90.00°
Closest atoms and distances in Å follow each position.
Atoms (fractional coordinates):
Fe: 0.0000 0.0000 0.0000  4 Se 3.00, 8 As 3.06
B: 0.5000 0.5000 0.5000  4 As 2.12, 2 Se 2.20
As: 0.0000 0.5000 0.5000  2 B 2.12
As: 0.5000 0.0000 0.5000  2 B 2.12
Se: 0.5000 0.5000 0.0000  2 B 2.20

- Uncorrected formation energy: 983 meV per atom
- D(E_F): 4.58 states/eV per cell
- Uncorrected energy: -4.6018 eV per atom
- Magnetic moment: 2.54 μB/cell
- Distance to the lowest polymorph of the same formula: 0.0000 eV per atom

***

(12)
Entry from Alexandria: YPaSbTe after structural relaxation (PBE).

a = 5.3212 Å, b = 5.3212 Å, c = 5.3212 Å
α = 60.00°, β = 60.00°, γ = 60.00°
Closest atoms and distances in Å follow each position.
Atoms (fractional coordinates):
Y: 0.0000 0.0000 0.0000  4 Te 3.26, 4 Sb 3.26
Pa: 0.5000 0.5000 0.5000  4 Te 3.26, 4 Sb 3.26
Sb: 0.2500 0.2500 0.2500  4 Pa 3.26, 4 Y 3.26
Te: 0.7500 0.7500 0.7500  4 Y 3.26, 4 Pa 3.26

- Uncorrected formation energy: -751 meV per atom
- D(E_F): 4.98 states/eV per cell
- Uncorrected energy: -6.5573 eV per atom
- Magnetic moment: 1.73 μB/cell

***

| no. | density (Mg/m³) |
| --- | --- |
| 1 | 5.648 |
| 2 | 6.248 |
| 3 | 13.964 |
| 4 | 5.988 |
| 5 | 9.509 |
| 6 | 17.258 |
| 7 | 4.237 |
| 8 | 7.233 |
| 9 | 5.171 |
| 10 | 6.876 |
| 11 | 6.174 |
| 12 | 8.873 |